(1)
Compound: YZr2W
Source: the Alexandria database
Functional: PBE
Structure: optimized geometry

Lattice parameters (Å, degrees): 3.143 4.689 6.231 90.00 102.03 90.00
Element x y z (fractional)
Y 0.000 0.000 0.000
Zr 0.310 0.500 0.717
Zr 0.690 0.500 0.283
W 0.500 0.000 0.500

## Properties
Excess energy over the best structure of this formula in the dataset, meV/atom: 93.7
Formation energy, eV per formula unit: 1.0



(2)
Compound: HoIn2Hg5
Source: the Alexandria database
Functional: PBE
Structure: optimized geometry

Lattice parameters (Å, degrees): 9.730 9.730 9.730 152.26 152.26 39.64
Element x y z (fractional)
Ho 0.000 0.000 0.000
In 0.245 0.245 0.000
In 0.755 0.755 0.000
Hg 0.123 0.623 0.500
Hg 0.377 0.877 0.500
Hg 0.500 0.500 0.000
Hg 0.623 0.123 0.500
Hg 0.877 0.377 0.500

## Properties
Formation energy, eV per formula unit: -1.3



(3)
Compound: BaCuW
Source: the Alexandria database
Functional: PBE
Structure: optimized geometry

Lattice parameters (Å, degrees): 7.264 7.264 7.264 155.58 155.58 34.80
Element x y z (fractional)
Ba 0.000 0.000 0.000
Cu 0.692 0.692 0.000
W 0.296 0.296 0.000

## Properties
Excess energy over the best structure of this formula in the dataset, meV/atom: 0.0
Formation energy, eV per formula unit: 2.9



(4)
Compound: PmNdMnN4
Source: the Alexandria database
Functional: PBE
Structure: optimized geometry

Lattice parameters (Å, degrees): 5.643 5.408 6.952 90.00 108.43 90.00
Element x y z (fractional)
Pm 0.212 0.250 0.042
Pm 0.788 0.750 0.958
Nd 0.282 0.250 0.567
Nd 0.718 0.750 0.433
Mn 0.234 0.750 0.798
Mn 0.766 0.250 0.202
N 0.028 0.504 0.741
N 0.028 0.996 0.741
N 0.394 0.750 0.054
N 0.430 0.750 0.647
N 0.570 0.250 0.353
N 0.606 0.250 0.946
N 0.972 0.004 0.259
N 0.972 0.496 0.259

## Properties
Raw formation energy, eV/atom: -0.878



(5)
Compound: GaSeS
Source: the Alexandria database
Functional: PBE
Structure: optimized geometry

Lattice parameters (Å, degrees): 3.475 3.475 7.680 100.88 100.88 62.50
Element x y z (fractional)
Ga 0.000 0.000 0.000
Se 0.903 0.903 0.686
S 0.381 0.381 0.149

## Properties
Raw formation energy, eV/atom: -0.358
Excess energy over the best structure of this formula in the dataset, meV/atom: 91.1



(6)
Compound: Al2SiNi
Source: the Alexandria database
Functional: PBE
Structure: optimized geometry

Lattice parameters (Å, degrees): 4.652 4.563 3.815 66.77 64.34 48.89
Element x y z (fractional)
Al 0.250 0.250 0.250
Al 0.750 0.750 0.750
Si 0.000 0.000 0.000
Ni 0.500 0.500 0.500

## Properties
Raw formation energy, eV/atom: -0.152
Excess energy over the best structure of this formula in the dataset, meV/atom: 162.0